(w)
{"formula": "CsZrCu3Te4", "functional": "PBE-GGA", "state": "relaxed", "cell": [[6.8534, 0.0000, 0.0000], [0.0000, 6.8534, 0.0000], [0.0000, 0.0000, 6.8534]], "species": ["Cs", "Zr", "Cu", "Cu", "Cu", "Te", "Te", "Te", "Te"], "fractional_positions": [[0.0000, 0.0000, 0.0000], [0.5000, 0.5000, 0.5000], [0.0000, 0.5000, 0.5000], [0.5000, 0.0000, 0.5000], [0.5000, 0.5000, 0.0000], [0.2748, 0.2748, 0.2748], [0.2748, 0.7252, 0.7252], [0.7252, 0.2748, 0.7252], [0.7252, 0.7252, 0.2748]], "density_g_cm3": 4.8}

=====

(x)
{"formula": "CsZrCu3Te4", "functional": "PBE-GGA", "state": "relaxed", "cell": [[6.2560, 0.0000, 0.0000], [0.0000, 8.2953, 0.0000], [-3.0147, 0.0000, 10.5880]], "species": ["Cs", "Cs", "Zr", "Zr", "Cu", "Cu", "Cu", "Cu", "Cu", "Cu", "Te", "Te", "Te", "Te", "Te", "Te", "Te", "Te"], "fractional_positions": [[0.1811, 0.2500, 0.3855], [0.8189, 0.7500, 0.6145], [0.1468, 0.2500, 0.7939], [0.8532, 0.7500, 0.2061], [0.2873, 0.5073, 0.9976], [0.2873, 0.9927, 0.9976], [0.3387, 0.7500, 0.1850], [0.6613, 0.2500, 0.8150], [0.7127, 0.0073, 0.0024], [0.7127, 0.4927, 0.0024], [0.0221, 0.2500, 0.0183], [0.2243, 0.7500, 0.4020], [0.4067, 0.5169, 0.7858], [0.4067, 0.9831, 0.7858], [0.5933, 0.0169, 0.2142], [0.5933, 0.4831, 0.2142], [0.7757, 0.2500, 0.5980], [0.9779, 0.7500, 0.9817]], "density_g_cm3": 5.6}

=====

Most stable of them? (x).

=====

(w)
{"formula": "CsTlCu", "functional": "PBE-GGA", "state": "relaxed", "cell": [[0.0000, 4.1282, 4.1282], [4.1282, 0.0000, 4.1282], [4.1282, 4.1282, 0.0000]], "species": ["Cs", "Tl", "Cu"], "fractional_positions": [[0.0000, 0.0000, 0.0000], [0.2500, 0.2500, 0.2500], [0.7500, 0.7500, 0.7500]], "density_g_cm3": 4.7}

=====

(x)
{"formula": "CsTlCu", "functional": "PBE-GGA", "state": "relaxed", "cell": [[0.0000, 3.9088, 3.9088], [3.9088, 0.0000, 3.9088], [3.9088, 3.9088, 0.0000]], "species": ["Cs", "Tl", "Cu"], "fractional_positions": [[0.0000, 0.0000, 0.0000], [0.5000, 0.5000, 0.5000], [0.2500, 0.2500, 0.2500]], "density_g_cm3": 5.6}

=====

(y)
{"formula": "CsTlCu", "functional": "PBE-GGA", "state": "relaxed", "cell": [[0.0000, 3.9888, 3.9888], [3.9888, 0.0000, 3.9888], [3.9888, 3.9888, 0.0000]], "species": ["Cs", "Tl", "Cu"], "fractional_positions": [[0.0000, 0.0000, 0.0000], [0.2500, 0.2500, 0.2500], [0.5000, 0.5000, 0.5000]], "density_g_cm3": 5.2}

=====

Most stable of them? (x).